Compound: Li2Re
Source: the Alexandria database
Functional: SCAN
Structure: PBEsol geometry

CIF file:
```
data_Li2Re
_space_group_name_H-M_alt 'C 1 2/m 1'
_space_group_IT_number 12
_cell_length_a 10.701
_cell_length_b 2.486
_cell_length_c 6.756
_cell_angle_alpha 90.00
_cell_angle_beta 100.83
_cell_angle_gamma 90.00
loop_
_space_group_symop_operation_xyz
'x,y,z'
'-x,-y,-z'
'-x,y,-z'
'x,-y,z'
'x+1/2,y+1/2,z'
'-x+1/2,-y+1/2,-z'
'-x+1/2,y+1/2,-z'
'x+1/2,-y+1/2,z'
loop_
_atom_site_label
_atom_site_fract_x
_atom_site_fract_y
_atom_site_fract_z
Li1 0.118 0.000 0.003
Li2 0.205 0.000 0.651
Re1 0.030 0.500 0.337
```

Its formation energy from the elements is 0.25 eV per atom. The calculation puts the density of states at the Fermi level at 0.76 states/eV/f.u. For the raw total energy, the calculation gives -25.0401 eV per atom.